DFT (GGA-PBE) results for an optimized crystal structure of Y2RePbO.

Its density of states at the Fermi level is 4.54 states/eV/f.u. Its uncorrected formation energy is -0.743 eV per atom. As for the raw total energy: -7.552 eV/atom.

Unit cell a=4.9406 b=4.9406 c=4.0847 alpha=90.00 beta=90.00 gamma=90.00
Last column: nearest neighbours and their distance in Å.
Positions (direct):
Y  0.0000  0.5000  0.0000  2 O 2.47
Y  0.5000  0.0000  0.0000  2 O 2.47
Re  0.0000  0.0000  0.5000  2 O 2.04
Pb  0.5000  0.5000  0.5000  8 Y 3.21, 4 Re 3.49
O  0.0000  0.0000  0.0000  2 Re 2.04